A plane-wave DFT calculation with GGA-PBE was carried out for ZrZnGa3 after structural relaxation.

```
ZrZnGa3
1.0
3.9944 0.0000 0.0000
0.0000 6.5754 0.0000
0.0000 0.0000 6.8830
Zr Zn Ga
2 2 6
direct
0.2500 0.2500 0.1920 Zr
0.7500 0.7500 0.8080 Zr
0.2500 0.7500 0.4783 Zn
0.7500 0.2500 0.5217 Zn
0.2500 0.0495 0.7233 Ga
0.2500 0.4505 0.7233 Ga
0.2500 0.7500 0.0936 Ga
0.7500 0.2500 0.9064 Ga
0.7500 0.5495 0.2767 Ga
0.7500 0.9505 0.2767 Ga
```

Summary:
The energy of formation comes out at -0.125 eV/atom. As for the space group: Pmmn (59). As for the volume: 180.8 Å³ per cell.